(1)
The following is a DFT calculation (GGA-PBE) of ZrGe2Au after structural relaxation.

Lattice parameters (Å, degrees): 6.691 6.691 6.691 90.00 90.00 90.00
Fractional positions:
Zr 0.000 0.000 0.000
Zr 0.000 0.500 0.500
Zr 0.500 0.000 0.500
Zr 0.500 0.500 0.000
Ge 0.250 0.250 0.250
Ge 0.250 0.250 0.750
Ge 0.250 0.750 0.250
Ge 0.250 0.750 0.750
Ge 0.750 0.250 0.250
Ge 0.750 0.250 0.750
Ge 0.750 0.750 0.250
Ge 0.750 0.750 0.750
Au 0.000 0.000 0.500
Au 0.000 0.500 0.000
Au 0.500 0.000 0.000
Au 0.500 0.500 0.500

Properties
* symmetry: Fm-3m (225)
* DFT total energy: -5.332 eV per atom
* E_form: -0.067 eV per atom

(2)
The following is a DFT calculation (GGA-PBE) of ZrGeAu2 after structural relaxation.

Lattice parameters (Å, degrees): 6.754 6.754 6.754 90.00 90.00 90.00
Fractional positions:
Zr 0.000 0.000 0.000
Zr 0.000 0.500 0.500
Zr 0.500 0.000 0.500
Zr 0.500 0.500 0.000
Ge 0.000 0.000 0.500
Ge 0.000 0.500 0.000
Ge 0.500 0.000 0.000
Ge 0.500 0.500 0.500
Au 0.250 0.250 0.250
Au 0.250 0.250 0.750
Au 0.250 0.750 0.250
Au 0.250 0.750 0.750
Au 0.750 0.250 0.250
Au 0.750 0.250 0.750
Au 0.750 0.750 0.250
Au 0.750 0.750 0.750

Properties
* symmetry: Fm-3m (225)
* DFT total energy: -5.200 eV per atom
* E_form: -0.270 eV per atom

(3)
The following is a DFT calculation (GGA-PBE) of Zr3GeAu after structural relaxation.

Lattice parameters (Å, degrees): 4.975 4.975 4.975 90.00 90.00 90.00
Fractional positions:
Zr 0.000 0.000 0.500
Zr 0.000 0.500 0.000
Zr 0.500 0.000 0.000
Ge 0.000 0.000 0.000
Au 0.500 0.500 0.500

Properties
* symmetry: Pm-3m (221)
* DFT total energy: -6.495 eV per atom
* E_form: 0.212 eV per atom

(4)
The following is a DFT calculation (GGA-PBE) of ZrGeAu3 after structural relaxation.

Lattice parameters (Å, degrees): 4.814 4.814 4.814 90.00 90.00 90.00
Fractional positions:
Zr 0.000 0.000 0.000
Ge 0.500 0.500 0.500
Au 0.000 0.500 0.500
Au 0.500 0.000 0.500
Au 0.500 0.500 0.000

Properties
* symmetry: Pm-3m (221)
* DFT total energy: -4.264 eV per atom
* E_form: 0.335 eV per atom

(5)
The following is a DFT calculation (GGA-PBE) of Zr2GeAu2 after structural relaxation.

Lattice parameters (Å, degrees): 3.740 3.740 15.193 90.00 90.00 90.00
Fractional positions:
Zr 0.000 0.000 0.096
Zr 0.000 0.000 0.904
Zr 0.500 0.500 0.404
Zr 0.500 0.500 0.596
Ge 0.000 0.000 0.500
Ge 0.500 0.500 0.000
Au 0.000 0.500 0.250
Au 0.000 0.500 0.750
Au 0.500 0.000 0.250
Au 0.500 0.000 0.750

Properties
* symmetry: I4/mmm (139)
* DFT total energy: -5.810 eV per atom
* E_form: -0.156 eV per atom

(6)
The following is a DFT calculation (GGA-PBE) of ZrGeAu2 after structural relaxation.

Lattice parameters (Å, degrees): 4.069 7.437 5.378 90.00 112.21 90.00
Fractional positions:
Zr 0.066 0.250 0.132
Zr 0.934 0.750 0.868
Ge 0.222 0.750 0.443
Ge 0.778 0.250 0.557
Au 0.368 0.051 0.738
Au 0.368 0.449 0.738
Au 0.632 0.551 0.262
Au 0.632 0.949 0.262

Properties
* symmetry: P2_1/m (11)
* DFT total energy: -5.292 eV per atom
* E_form: -0.362 eV per atom

(7)
The following is a DFT calculation (GGA-PBE) of ZrGe2Au after structural relaxation.

Lattice parameters (Å, degrees): 7.257 7.257 6.043 90.00 90.00 90.00
Fractional positions:
Zr 0.000 0.000 0.000
Zr 0.000 0.500 0.250
Zr 0.500 0.000 0.750
Zr 0.500 0.500 0.500
Ge 0.225 0.250 0.625
Ge 0.250 0.725 0.875
Ge 0.250 0.775 0.375
Ge 0.275 0.250 0.125
Ge 0.725 0.750 0.125
Ge 0.750 0.225 0.375
Ge 0.750 0.275 0.875
Ge 0.775 0.750 0.625
Au 0.000 0.000 0.500
Au 0.000 0.500 0.750
Au 0.500 0.000 0.250
Au 0.500 0.500 0.000

Properties
* symmetry: I-42d (122)
* DFT total energy: -5.416 eV per atom
* E_form: -0.151 eV per atom

(8)
The following is a DFT calculation (GGA-PBE) of Zr2GeAu after structural relaxation.

Lattice parameters (Å, degrees): 7.529 7.529 5.966 90.00 90.00 90.00
Fractional positions:
Zr 0.244 0.250 0.125
Zr 0.250 0.744 0.375
Zr 0.250 0.756 0.875
Zr 0.256 0.250 0.625
Zr 0.744 0.750 0.625
Zr 0.750 0.244 0.875
Zr 0.750 0.256 0.375
Zr 0.756 0.750 0.125
Ge 0.000 0.000 0.000
Ge 0.000 0.500 0.250
Ge 0.500 0.000 0.750
Ge 0.500 0.500 0.500
Au 0.000 0.000 0.500
Au 0.000 0.500 0.750
Au 0.500 0.000 0.250
Au 0.500 0.500 0.000

Properties
* symmetry: I-42d (122)
* DFT total energy: -6.539 eV per atom
* E_form: -0.291 eV per atom

(9)
The following is a DFT calculation (GGA-PBE) of ZrGe2Au2 after structural relaxation.

Lattice parameters (Å, degrees): 7.559 7.559 3.289 90.00 90.00 90.00
Fractional positions:
Zr 0.000 0.000 0.000
Zr 0.500 0.500 0.000
Ge 0.150 0.350 0.000
Ge 0.350 0.850 0.000
Ge 0.650 0.150 0.000
Ge 0.850 0.650 0.000
Au 0.151 0.651 0.500
Au 0.349 0.151 0.500
Au 0.651 0.849 0.500
Au 0.849 0.349 0.500

Properties
* symmetry: P4/mbm (127)
* DFT total energy: -5.032 eV per atom
* E_form: -0.164 eV per atom

(10)
The following is a DFT calculation (GGA-PBE) of ZrGe2Au after structural relaxation.

Lattice parameters (Å, degrees): 3.947 3.947 9.501 90.00 90.00 90.00
Fractional positions:
Zr 0.250 0.250 0.229
Zr 0.750 0.750 0.771
Ge 0.250 0.250 0.709
Ge 0.250 0.750 0.000
Ge 0.750 0.250 0.000
Ge 0.750 0.750 0.291
Au 0.250 0.750 0.500
Au 0.750 0.250 0.500

Properties
* symmetry: P4/nmm (129)
* DFT total energy: -5.695 eV per atom
* E_form: -0.430 eV per atom

(11)
The following is a DFT calculation (GGA-PBE) of Zr4Ge2Au5 after structural relaxation.

Lattice parameters (Å, degrees): 7.249 3.157 9.379 90.00 95.10 90.00
Fractional positions:
Zr 0.175 0.000 0.385
Zr 0.267 0.000 0.943
Zr 0.733 0.000 0.057
Zr 0.825 0.000 0.615
Ge 0.067 0.500 0.139
Ge 0.933 0.500 0.861
Au 0.177 0.500 0.654
Au 0.448 0.500 0.191
Au 0.500 0.500 0.500
Au 0.552 0.500 0.809
Au 0.823 0.500 0.346

Properties
* symmetry: P2/m (10)
* DFT total energy: -5.866 eV per atom
* E_form: -0.428 eV per atom

(12)
The following is a DFT calculation (GGA-PBE) of ZrGe2Au after structural relaxation.

Lattice parameters (Å, degrees): 4.373 4.373 3.824 90.00 90.00 90.00
Fractional positions:
Zr 0.000 0.000 0.000
Ge 0.000 0.500 0.500
Ge 0.500 0.000 0.500
Au 0.500 0.500 0.000

Properties
* symmetry: P4/mmm (123)
* DFT total energy: -5.644 eV per atom
* E_form: -0.379 eV per atom

(13)
The following is a DFT calculation (GGA-PBE) of Zr2GeAu2 after structural relaxation.

Lattice parameters (Å, degrees): 7.511 7.511 3.762 90.00 90.00 90.00
Fractional positions:
Zr 0.167 0.333 0.000
Zr 0.333 0.833 0.000
Zr 0.667 0.167 0.000
Zr 0.833 0.667 0.000
Ge 0.000 0.000 0.000
Ge 0.500 0.500 0.000
Au 0.133 0.633 0.500
Au 0.367 0.133 0.500
Au 0.633 0.867 0.500
Au 0.867 0.367 0.500

Properties
* symmetry: P4/mbm (127)
* DFT total energy: -5.987 eV per atom
* E_form: -0.333 eV per atom

(14)
The following is a DFT calculation (GGA-PBE) of ZrGeAu3 after structural relaxation.

Lattice parameters (Å, degrees): 5.223 5.223 5.223 90.00 90.00 90.00
Fractional positions:
Zr 0.000 0.000 0.000
Ge 0.500 0.500 0.500
Au 0.000 0.000 0.500
Au 0.000 0.500 0.000
Au 0.500 0.000 0.000

Properties
* symmetry: Pm-3m (221)
* DFT total energy: -3.776 eV per atom
* E_form: 0.823 eV per atom

(15)
The following is a DFT calculation (GGA-PBE) of Zr2GeAu after structural relaxation.

Lattice parameters (Å, degrees): 3.653 3.653 5.876 90.00 90.00 90.00
Fractional positions:
Zr 0.000 0.000 0.241
Zr 0.000 0.000 0.759
Ge 0.500 0.500 0.000
Au 0.500 0.500 0.500

Properties
* symmetry: P4/mmm (123)
* DFT total energy: -6.760 eV per atom
* E_form: -0.512 eV per atom

(16)
The following is a DFT calculation (GGA-PBE) of Zr2GeAu2 after structural relaxation.

Lattice parameters (Å, degrees): 7.050 7.050 4.073 90.00 90.00 90.00
Fractional positions:
Zr 0.168 0.332 0.000
Zr 0.332 0.832 0.000
Zr 0.668 0.168 0.000
Zr 0.832 0.668 0.000
Ge 0.000 0.000 0.500
Ge 0.500 0.500 0.500
Au 0.136 0.636 0.500
Au 0.364 0.136 0.500
Au 0.636 0.864 0.500
Au 0.864 0.364 0.500

Properties
* symmetry: P4/mbm (127)
* DFT total energy: -6.030 eV per atom
* E_form: -0.377 eV per atom

(17)
The following is a DFT calculation (GGA-PBE) of ZrGe3Au after structural relaxation.

Lattice parameters (Å, degrees): 4.952 4.952 4.952 90.00 90.00 90.00
Fractional positions:
Zr 0.000 0.000 0.000
Ge 0.000 0.500 0.500
Ge 0.500 0.000 0.500
Ge 0.500 0.500 0.000
Au 0.500 0.500 0.500

Properties
* symmetry: Pm-3m (221)
* DFT total energy: -4.433 eV per atom
* E_form: 0.703 eV per atom

(18)
The following is a DFT calculation (GGA-PBE) of ZrGe2Au after structural relaxation.

Lattice parameters (Å, degrees): 3.154 3.154 28.795 90.00 90.00 120.00
Fractional positions:
Zr 0.000 0.000 0.000
Zr 0.333 0.667 0.667
Zr 0.667 0.333 0.333
Ge 0.000 0.000 0.095
Ge 0.000 0.000 0.905
Ge 0.333 0.667 0.571
Ge 0.333 0.667 0.762
Ge 0.667 0.333 0.238
Ge 0.667 0.333 0.429
Au 0.000 0.000 0.500
Au 0.333 0.667 0.167
Au 0.667 0.333 0.833

Properties
* symmetry: R-3m (166)
* DFT total energy: -5.097 eV per atom
* E_form: 0.168 eV per atom

(19)
The following is a DFT calculation (GGA-PBE) of ZrGe2Au2 after structural relaxation.

Lattice parameters (Å, degrees): 7.632 7.632 3.313 90.00 90.00 90.00
Fractional positions:
Zr 0.000 0.000 0.000
Zr 0.500 0.500 0.000
Ge 0.181 0.319 0.500
Ge 0.319 0.819 0.500
Ge 0.681 0.181 0.500
Ge 0.819 0.681 0.500
Au 0.128 0.628 0.000
Au 0.372 0.128 0.000
Au 0.628 0.872 0.000
Au 0.872 0.372 0.000

Properties
* symmetry: P4/mbm (127)
* DFT total energy: -4.964 eV per atom
* E_form: -0.097 eV per atom

(20)
The following is a DFT calculation (GGA-PBE) of Zr2GeAu after structural relaxation.

Lattice parameters (Å, degrees): 4.463 4.463 3.942 90.00 90.00 90.00
Fractional positions:
Zr 0.000 0.500 0.000
Zr 0.500 0.000 0.000
Ge 0.000 0.000 0.500
Au 0.500 0.500 0.500

Properties
* symmetry: P4/mmm (123)
* DFT total energy: -6.768 eV per atom
* E_form: -0.520 eV per atom